# 1
Below is an optimized crystal structure of MgNiSb2Te, with properties calculated at the PBE-GGA level.

Unit cell a=5.285 b=5.285 c=5.374 alpha=90.00 beta=90.00 gamma=90.00
Space group P4/mmm (No. 123)
Unique sites:
1 Mg 0.000 0.000 0.000 x1
2 Ni 0.500 0.500 0.500 x1
3 Sb 0.000 0.500 0.000 x2
4 Te 0.000 0.000 0.500 x1

## Properties
Spin magnetization ... 0.11 μB per atom
Fermi-level density of states ... 7.757 states/eV/f.u.
E above lowest polymorph ... 761 meV per atom

# 2
Below is an optimized crystal structure of Ho2S3, with properties calculated at the PBE-GGA level.

Unit cell a=6.8745 b=6.8745 c=18.4573 alpha=90.00 beta=90.00 gamma=120.00
Space group R-3c (No. 167, hexagonal axes)
Unique sites:
1 Ho 0.0000 0.0000 0.1498 x12
2 S 0.0000 0.3012 0.2500 x18

## Properties
Spin magnetization ... 0.00 μB per atom
Fermi-level density of states ... 0.000 states/eV/f.u.
Final energy ... -6.37 eV/atom

# 3
Below is an optimized crystal structure of Gd2HgOs, with properties calculated at the PBE-GGA level.

Unit cell a=7.161 b=7.161 c=7.161 alpha=90.00 beta=90.00 gamma=90.00
Space group Fm-3m (No. 225)
Unique sites:
1 Gd 0.250 0.250 0.250 x8
2 Hg 0.000 0.000 0.000 x4
3 Os 0.000 0.000 0.500 x4

## Properties
Spin magnetization ... 3.54 μB per atom
Fermi-level density of states ... 3.247 states/eV/f.u.
Energy of formation from the pure elements ... -0.22 eV per atom
E above lowest polymorph ... 115 meV per atom

# 4
Below is an optimized crystal structure of LaNdZnTc, with properties calculated at the PBE-GGA level.

Unit cell a=7.253 b=7.253 c=7.253 alpha=90.00 beta=90.00 gamma=90.00
Space group F-43m (No. 216)
Unique sites:
1 La 0.000 0.000 0.000 x4
2 Nd 0.000 0.000 0.500 x4
3 Zn 0.250 0.250 0.750 x4
4 Tc 0.250 0.250 0.250 x4

## Properties
Spin magnetization ... 0.00 μB per atom
Fermi-level density of states ... 2.149 states/eV/f.u.
Energy of formation from the pure elements ... -0.01 eV per atom

# 5
Below is an optimized crystal structure of KZnAg2, with properties calculated at the PBE-GGA level.

Unit cell a=8.123 b=4.716 c=6.543 alpha=90.00 beta=114.95 gamma=90.00
Space group Cm (No. 8)
Unique sites:
1 K 0.000 0.000 0.000 x2
2 Zn 0.316 0.500 0.452 x2
3 Ag 0.183 0.000 0.553 x2
4 Ag 0.492 0.000 0.480 x2

## Properties
Spin magnetization ... 0.00 μB per atom
Fermi-level density of states ... 2.300 states/eV/f.u.
Energy of formation from the pure elements ... 0.00 eV per atom

# 6
Below is an optimized crystal structure of NbZnCu2H, with properties calculated at the PBE-GGA level.

Unit cell a=3.927 b=3.927 c=3.911 alpha=90.00 beta=90.00 gamma=90.00
Space group P4/mmm (No. 123)
Unique sites:
1 Nb 0.000 0.000 0.000 x1
2 Zn 0.500 0.500 0.000 x1
3 Cu 0.000 0.500 0.500 x2
4 H 0.000 0.000 0.500 x1

## Properties
Spin magnetization ... 0.00 μB per atom
Fermi-level density of states ... 3.474 states/eV/f.u.
Final energy ... -4.51 eV/atom